1.
DFT (GGA-PBE) results for a relaxed UMnNi crystal.

Output
**Polymorph energy (0 for the lowest one)**: 0.255 eV per atom
**DOS(E_F)**: 5.18 states/eV/f.u.

Cell: 4.3893 4.3893 2.8857 Å, 90.00 90.00 120.00°
Last column: nearest neighbours and their distance in Å.
Space group P3m1 (No. 156)
Asymmetric unit:
U: 0.0000 0.0000 0.0000  2 U 2.89, 6 Mn 2.91-2.92, 6 Ni 2.91-2.92
Mn: 0.6667 0.3333 0.5022  3 Ni 2.53
Ni: 0.3333 0.6667 0.4979  3 Mn 2.53


2.
DFT (GGA-PBE) results for a relaxed RbGa3Tc crystal.

Output
**Polymorph energy (0 for the lowest one)**: 0.258 eV per atom
**DOS(E_F)**: 1.69 states/eV/f.u.

Cell: 14.0169 9.6928 7.3036 Å, 90.00 107.64 90.00°
Last column: nearest neighbours and their distance in Å.
Space group C2/c (No. 15)
Asymmetric unit:
Rb: 0.0000 0.1202 0.2500  6 Ga 3.44-3.84, 3 Rb 3.50-3.83
Rb: 0.0000 0.2409 0.7500  6 Ga 3.34-3.47, 1 Rb 3.50
Ga: 0.0737 0.4454 0.1587  1 Tc 2.40
Ga: 0.2102 0.3499 0.5630  3 Tc 2.54-2.81, 2 Ga 2.54-2.55
Ga: 0.2269 0.1429 0.0714  2 Ga 2.50-2.55, 2 Tc 2.56
Tc: 0.2485 0.0906 0.7432  4 Ga 2.40-2.56


3.
DFT (GGA-PBE) results for a relaxed MoOsAu2 crystal.

Output
**Polymorph energy (0 for the lowest one)**: 0.026 eV per atom
**DOS(E_F)**: 3.35 states/eV/f.u.

Cell: 2.8490 2.8490 8.2431 Å, 90.00 90.00 90.00°
Last column: nearest neighbours and their distance in Å.
Space group P4mm (No. 99)
Asymmetric unit:
Mo: 0.0000 0.0000 0.0000  4 Os 2.63, 4 Mo 2.85
Os: 0.5000 0.5000 0.2049  4 Mo 2.63, 4 Os 2.85
Au: 0.0000 0.0000 0.4654  8 Au 2.85-3.03, 4 Os 2.94
Au: 0.5000 0.5000 0.7395  8 Au 2.85-3.03, 4 Mo 2.94


4.
DFT (GGA-PBE) results for a relaxed Cs3UBr2Cl6 crystal.

Output
**Energy relative to the elements, uncorrected**: -21.1 eV/f.u.

Cell: 18.2120 9.7303 5.7990 Å, 90.00 90.25 90.00°
Last column: nearest neighbours and their distance in Å.
Space group C2/m (No. 12)
Asymmetric unit:
Cs: 0.0000 0.0000 0.0000  2 Br 3.54, 4 Cl 3.58
Cs: 0.2500 0.2500 0.5000  4 Cl 3.73-3.79, 4 Br 3.74-4.11
U: 0.0000 0.5000 0.5000  6 Cl 2.52-2.54
Br: 0.1939 0.0000 0.9565  3 Cs 3.54-3.74, 1 Cl 3.90
Cl: 0.0616 0.3118 0.2659  1 U 2.54
Cl: 0.1127 0.5000 0.7534  1 U 2.52


5.
DFT (GGA-PBE) results for a relaxed Ca2SnCl crystal.

Output
**Polymorph energy (0 for the lowest one)**: 0.212 eV per atom
**DOS(E_F)**: 5.45 states/eV/f.u.
**Energy relative to the elements, uncorrected**: -3.6 eV/f.u.

Cell: 7.6809 7.6809 7.6809 Å, 90.00 90.00 90.00°
Last column: nearest neighbours and their distance in Å.
Space group Fm-3m (No. 225)
Asymmetric unit:
Ca: 0.2500 0.2500 0.2500  4 Cl 3.33, 4 Sn 3.33
Sn: 0.0000 0.0000 0.0000  8 Ca 3.33
Cl: 0.0000 0.0000 0.5000  8 Ca 3.33


6.
DFT (GGA-PBE) results for a relaxed CaNi2Cl crystal.

Output
**Polymorph energy (0 for the lowest one)**: 0.178 eV per atom
**DOS(E_F)**: 4.67 states/eV/f.u.
**Energy relative to the elements, uncorrected**: -0.9 eV/f.u.

Cell: 10.5368 3.4904 4.0578 Å, 90.00 99.52 90.00°
Last column: nearest neighbours and their distance in Å.
Space group C2/m (No. 12)
Asymmetric unit:
Ca: 0.0000 0.0000 0.0000  4 Cl 2.68, 2 Ni 2.90
Ni: 0.2224 0.5000 0.8009  2 Ni 2.38, 1 Cl 2.46
Cl: 0.0000 0.5000 0.5000  2 Ni 2.46, 4 Ca 2.68